The following is a DFT calculation (PBE) of a geometry-optimized CoSeN2Cl structure.

POSCAR file:
```
CoSeN2Cl
1.0
3.532 0.000 0.000
0.000 3.532 0.000
0.000 0.000 7.321
Co Se N Cl
1 1 2 1
Cartesian
0.000 0.000 0.000
1.766 1.766 0.000
0.000 1.766 3.660
1.766 0.000 3.660
1.766 1.766 3.660
```

energy relative to the lowest polymorph listed for this composition = 1.092 eV/atom
formation energy from raw total energies = 11.04 eV per formula unit
uncorrected energy = -3.609 eV/atom
space-group type = No. 123